No. 1
Entry from Alexandria: KLaCl2 after structural relaxation (PBE).

a = 6.6729 Å, b = 6.6729 Å, c = 6.6729 Å
α = 148.01°, β = 100.10°, γ = 88.65°
Element x y z (fractional)
K 0.0000 0.0000 0.0000
La 0.5000 0.5000 0.0000
Cl 0.2646 0.7646 0.5000
Cl 0.7354 0.2354 0.5000

Results
As for the energy above the most stable polymorph in this dataset: 242 meV/atom. The value obtained for the total DFT energy (no corrections) is -15.4 eV per cell. The density of states at the Fermi level is 0.5674 states/eV per atom. Its uncorrected formation energy is -1.425 eV per atom. For the calculated volume, the calculation gives 37.6 Å³ per atom.

---

No. 2
Entry from Alexandria: TlHgPd2 after structural relaxation (PBE).

a = 8.8662 Å, b = 8.8662 Å, c = 8.8662 Å
α = 20.96°, β = 20.96°, γ = 20.96°
Element x y z (fractional)
Tl 0.0000 0.0000 0.0000
Hg 0.8332 0.8332 0.8332
Pd 0.4161 0.4161 0.4161
Pd 0.5838 0.5838 0.5838

Results
The value obtained for the total DFT energy (no corrections) is -13.3 eV per cell. The density of states at the Fermi level is 0.3504 states/eV per atom. For the calculated volume, the calculation gives 19.5 Å³ per atom.

---

No. 3
Entry from Alexandria: Ba2RuCl after structural relaxation (PBE).

a = 4.1969 Å, b = 4.9084 Å, c = 6.2133 Å
α = 90.00°, β = 90.00°, γ = 90.00°
Element x y z (fractional)
Ba 0.0000 0.0000 0.0000
Ba 0.5000 0.5000 0.4780
Ru 0.5000 0.5000 0.0152
Cl 0.0000 0.0000 0.5005

Results
As for the energy above the most stable polymorph in this dataset: 15 meV/atom. The value obtained for the total DFT energy (no corrections) is -17.0 eV per cell. The density of states at the Fermi level is 0.7942 states/eV per atom. Its uncorrected formation energy is -0.512 eV per atom. For the calculated volume, the calculation gives 32.0 Å³ per atom.